The following is a DFT calculation (GGA-PBE) of a geometry-optimized Li3Ag2Ge3 structure.

Cell: 4.549 5.206 13.144 Å, 90.00 90.00 115.91°
Element x y z (fractional)
Ag1 0.201 0.401 0.375
Ag2 0.799 0.599 0.625
Ag3 0.799 0.599 0.875
Ag4 0.201 0.401 0.125
Ge1 0.419 0.838 0.923
Ge2 0.581 0.162 0.077
Ge3 0.426 0.851 0.250
Ge4 0.574 0.149 0.750
Ge5 0.419 0.838 0.577
Ge6 0.581 0.162 0.423
Li1 0.895 0.791 0.081
Li2 0.277 0.554 0.750
Li3 0.105 0.209 0.919
Li4 0.105 0.209 0.581
Li5 0.895 0.791 0.419
Li6 0.723 0.446 0.250

Values from the calculation:
- Total energy: -3.333 eV/atom
- Excess energy over the best structure of this formula in the dataset: 0 meV per atom
- N(E_F): 2.4 states/eV/cell

---

The following is a DFT calculation (GGA-PBE) of a geometry-optimized Sr2MgZn3Sn4 structure.

Cell: 4.694 4.694 11.710 Å, 90.00 90.00 90.00°
Element x y z (fractional)
Sn1 0.000 0.000 0.000
Sn2 0.500 0.000 0.640
Sn3 0.500 0.500 0.000
Sn4 0.000 0.500 0.360
Mg1 0.500 0.500 0.500
Zn1 0.000 0.500 0.134
Zn2 0.500 0.000 0.866
Zn3 0.000 0.000 0.500
Sr1 0.000 0.500 0.755
Sr2 0.500 0.000 0.245

Values from the calculation:
- Total energy: -2.861 eV/atom
- N(E_F): 2.5 states/eV/cell

---

The following is a DFT calculation (GGA-PBE) of a geometry-optimized Nd6Te3AsP2 structure.

Cell: 4.292 8.833 9.835 Å, 105.39 102.60 90.00°
Element x y z (fractional)
Nd1 0.676 0.564 0.351
Nd2 0.324 0.436 0.649
Nd3 0.010 0.238 0.021
Nd4 0.990 0.762 0.979
Nd5 0.338 0.892 0.675
Nd6 0.662 0.108 0.325
As1 0.500 0.000 0.000
Te1 0.835 0.167 0.670
Te2 0.165 0.833 0.330
Te3 0.500 0.500 0.000
P1 0.833 0.666 0.666
P2 0.167 0.334 0.334

Values from the calculation:
- Total energy: -6.022 eV/atom
- ΔE_f (raw): -1.56 eV/atom
- N(E_F): 4.8 states/eV/cell

---

The magnetization results, record by record, are as follows: 0.00, 0.00, 0.00 Bohr magnetons per cell.